(1)
Crystalline Ce2TaCr2N6 at its relaxed geometry. Source: Alexandria via LeMat-Bulk, functional GGA-PBE.

a = 6.246 Å, b = 6.246 Å, c = 6.246 Å
α = 55.14°, β = 55.14°, γ = 55.14°
Element x y z (fractional)
1 Ce 0.208 0.208 0.208
2 Ce 0.792 0.792 0.792
3 Ta 0.000 0.000 0.000
4 Cr 0.435 0.435 0.435
5 Cr 0.565 0.565 0.565
6 N 0.234 0.758 0.758
7 N 0.242 0.242 0.766
8 N 0.242 0.766 0.242
9 N 0.758 0.234 0.758
10 N 0.758 0.758 0.234
11 N 0.766 0.242 0.242

Its crystal system is trigonal. As for the symmetry: R-3m, No. 166. As for the formation energy (no corrections): -77.6 kJ/mol of atoms.

(2)
Crystalline Ce2TaCrN6 at its relaxed geometry. Source: Alexandria via LeMat-Bulk, functional GGA-PBE.

a = 5.485 Å, b = 5.588 Å, c = 9.498 Å
α = 90.00°, β = 125.09°, γ = 90.00°
Element x y z (fractional)
1 Ce 0.244 0.049 0.250
2 Ce 0.244 0.451 0.750
3 Ce 0.756 0.549 0.250
4 Ce 0.756 0.951 0.750
5 Ta 0.500 0.000 0.000
6 Ta 0.500 0.500 0.500
7 Cr 0.000 0.000 0.500
8 Cr 0.000 0.500 0.000
9 N 0.149 0.206 0.957
10 N 0.149 0.294 0.457
11 N 0.249 0.693 0.957
12 N 0.249 0.807 0.457
13 N 0.324 0.020 0.742
14 N 0.324 0.480 0.242
15 N 0.676 0.520 0.758
16 N 0.676 0.980 0.258
17 N 0.751 0.193 0.543
18 N 0.751 0.307 0.043
19 N 0.851 0.706 0.543
20 N 0.851 0.794 0.043

Its crystal system is monoclinic. As for the symmetry: P2_1/c, No. 14. As for the formation energy (no corrections): -98.2 kJ/mol of atoms.

(3)
Crystalline TbCeCrN3 at its relaxed geometry. Source: Alexandria via LeMat-Bulk, functional GGA-PBE.

a = 7.276 Å, b = 3.423 Å, c = 7.402 Å
α = 90.00°, β = 97.57°, γ = 90.00°
Element x y z (fractional)
1 Tb 0.137 0.250 0.173
2 Tb 0.863 0.750 0.827
3 Ce 0.332 0.750 0.826
4 Ce 0.668 0.250 0.174
5 Cr 0.419 0.750 0.403
6 Cr 0.581 0.250 0.597
7 N 0.111 0.250 0.854
8 N 0.338 0.250 0.476
9 N 0.380 0.750 0.149
10 N 0.620 0.250 0.851
11 N 0.662 0.750 0.524
12 N 0.889 0.750 0.146

Its crystal system is monoclinic. As for the symmetry: P2_1/m, No. 11. As for the formation energy (no corrections): -109.9 kJ/mol of atoms.

(4)
Crystalline TbCe2CrN4 at its relaxed geometry. Source: Alexandria via LeMat-Bulk, functional GGA-PBE.

a = 6.019 Å, b = 6.019 Å, c = 11.837 Å
α = 90.00°, β = 90.00°, γ = 147.35°
Element x y z (fractional)
1 Tb 0.116 0.884 0.750
2 Tb 0.884 0.116 0.250
3 Ce 0.365 0.635 0.547
4 Ce 0.365 0.635 0.953
5 Ce 0.635 0.365 0.047
6 Ce 0.635 0.365 0.453
7 Cr 0.152 0.848 0.250
8 Cr 0.848 0.152 0.750
9 N 0.000 0.000 0.000
10 N 0.000 0.000 0.500
11 N 0.271 0.729 0.136
12 N 0.271 0.729 0.364
13 N 0.434 0.566 0.750
14 N 0.566 0.434 0.250
15 N 0.729 0.271 0.636
16 N 0.729 0.271 0.864

Its crystal system is orthorhombic. As for the symmetry: Cmcm, No. 63. As for the formation energy (no corrections): -109.4 kJ/mol of atoms.

(5)
Crystalline Tb2CeCrN4 at its relaxed geometry. Source: Alexandria via LeMat-Bulk, functional GGA-PBE.

a = 6.019 Å, b = 6.019 Å, c = 11.702 Å
α = 90.00°, β = 90.00°, γ = 147.21°
Element x y z (fractional)
1 Tb 0.131 0.869 0.544
2 Tb 0.131 0.869 0.956
3 Tb 0.869 0.131 0.044
4 Tb 0.869 0.131 0.456
5 Ce 0.403 0.597 0.750
6 Ce 0.597 0.403 0.250
7 Cr 0.335 0.665 0.250
8 Cr 0.665 0.335 0.750
9 N 0.073 0.927 0.750
10 N 0.231 0.769 0.131
11 N 0.231 0.769 0.369
12 N 0.500 0.500 0.000
13 N 0.500 0.500 0.500
14 N 0.769 0.231 0.631
15 N 0.769 0.231 0.869
16 N 0.927 0.073 0.250

Its crystal system is orthorhombic. As for the symmetry: Cmcm, No. 63. As for the formation energy (no corrections): -118.8 kJ/mol of atoms.

(6)
Crystalline CeThCrN4 at its relaxed geometry. Source: Alexandria via LeMat-Bulk, functional GGA-PBE.

a = 6.822 Å, b = 6.822 Å, c = 5.303 Å
α = 90.00°, β = 90.00°, γ = 134.32°
Element x y z (fractional)
1 Ce 0.106 0.894 0.750
2 Ce 0.894 0.106 0.250
3 Th 0.392 0.608 0.750
4 Th 0.608 0.392 0.250
5 Cr 0.251 0.749 0.250
6 Cr 0.749 0.251 0.750
7 N 0.000 0.500 0.000
8 N 0.000 0.500 0.500
9 N 0.074 0.926 0.250
10 N 0.422 0.578 0.250
11 N 0.500 0.000 0.000
12 N 0.500 0.000 0.500
13 N 0.578 0.422 0.750
14 N 0.926 0.074 0.750

Its crystal system is orthorhombic. As for the symmetry: Cmcm, No. 63. As for the formation energy (no corrections): -118.4 kJ/mol of atoms.

(7)
Crystalline Ce2ThCrN4 at its relaxed geometry. Source: Alexandria via LeMat-Bulk, functional GGA-PBE.

a = 6.100 Å, b = 6.100 Å, c = 11.870 Å
α = 90.00°, β = 90.00°, γ = 147.42°
Element x y z (fractional)
1 Ce 0.133 0.867 0.551
2 Ce 0.133 0.867 0.949
3 Ce 0.867 0.133 0.051
4 Ce 0.867 0.133 0.449
5 Th 0.397 0.603 0.750
6 Th 0.603 0.397 0.250
7 Cr 0.339 0.661 0.250
8 Cr 0.661 0.339 0.750
9 N 0.058 0.942 0.750
10 N 0.224 0.776 0.133
11 N 0.224 0.776 0.367
12 N 0.500 0.500 0.000
13 N 0.500 0.500 0.500
14 N 0.776 0.224 0.633
15 N 0.776 0.224 0.867
16 N 0.942 0.058 0.250

Its crystal system is orthorhombic. As for the symmetry: Cmcm, No. 63. As for the formation energy (no corrections): -115.7 kJ/mol of atoms.

(8)
Crystalline CeTiCrN3 at its relaxed geometry. Source: Alexandria via LeMat-Bulk, functional GGA-PBE.

a = 6.803 Å, b = 3.087 Å, c = 7.398 Å
α = 90.00°, β = 103.35°, γ = 90.00°
Element x y z (fractional)
1 Ce 0.186 0.250 0.203
2 Ce 0.814 0.750 0.797
3 Ti 0.352 0.750 0.871
4 Ti 0.648 0.250 0.129
5 Cr 0.109 0.250 0.597
6 Cr 0.891 0.750 0.403
7 N 0.131 0.250 0.861
8 N 0.189 0.750 0.472
9 N 0.441 0.750 0.148
10 N 0.559 0.250 0.852
11 N 0.811 0.250 0.528
12 N 0.869 0.750 0.139

Its crystal system is monoclinic. As for the symmetry: P2_1/m, No. 11. As for the formation energy (no corrections): -112.5 kJ/mol of atoms.

(9)
Crystalline CeTi2CrN4 at its relaxed geometry. Source: Alexandria via LeMat-Bulk, functional GGA-PBE.

a = 5.639 Å, b = 5.639 Å, c = 10.513 Å
α = 90.00°, β = 90.00°, γ = 147.57°
Element x y z (fractional)
1 Ce 0.097 0.903 0.750
2 Ce 0.903 0.097 0.250
3 Ti 0.371 0.629 0.543
4 Ti 0.371 0.629 0.957
5 Ti 0.629 0.371 0.043
6 Ti 0.629 0.371 0.457
7 Cr 0.164 0.836 0.250
8 Cr 0.836 0.164 0.750
9 N 0.000 0.000 0.000
10 N 0.000 0.000 0.500
11 N 0.267 0.733 0.112
12 N 0.267 0.733 0.388
13 N 0.431 0.569 0.750
14 N 0.569 0.431 0.250
15 N 0.733 0.267 0.612
16 N 0.733 0.267 0.888

Its crystal system is orthorhombic. As for the symmetry: Cmcm, No. 63. As for the formation energy (no corrections): -125.4 kJ/mol of atoms.

(10)
Crystalline Ce2TiCr2N6 at its relaxed geometry. Source: Alexandria via LeMat-Bulk, functional GGA-PBE.

a = 6.191 Å, b = 6.191 Å, c = 6.191 Å
α = 54.92°, β = 54.92°, γ = 54.92°
Element x y z (fractional)
1 Ce 0.210 0.210 0.210
2 Ce 0.790 0.790 0.790
3 Ti 0.000 0.000 0.000
4 Cr 0.432 0.432 0.432
5 Cr 0.568 0.568 0.568
6 N 0.238 0.759 0.759
7 N 0.241 0.241 0.762
8 N 0.241 0.762 0.241
9 N 0.759 0.238 0.759
10 N 0.759 0.759 0.238
11 N 0.762 0.241 0.241

Its crystal system is trigonal. As for the symmetry: R-3m, No. 166. As for the formation energy (no corrections): -79.9 kJ/mol of atoms.

(11)
Crystalline Ce2TiCrN5 at its relaxed geometry. Source: Alexandria via LeMat-Bulk, functional GGA-PBE.

a = 6.743 Å, b = 6.743 Å, c = 10.026 Å
α = 90.00°, β = 90.00°, γ = 151.86°
Element x y z (fractional)
1 Ce 0.113 0.887 0.500
2 Ce 0.143 0.857 0.118
3 Ce 0.857 0.143 0.618
4 Ce 0.887 0.113 0.000
5 Ti 0.210 0.790 0.823
6 Ti 0.790 0.210 0.323
7 Cr 0.467 0.533 0.274
8 Cr 0.533 0.467 0.774
9 N 0.047 0.953 0.855
10 N 0.285 0.715 0.469
11 N 0.320 0.680 0.194
12 N 0.362 0.638 0.814
13 N 0.494 0.506 0.601
14 N 0.506 0.494 0.101
15 N 0.638 0.362 0.314
16 N 0.680 0.320 0.694
17 N 0.715 0.285 0.969
18 N 0.953 0.047 0.355

Its crystal system is orthorhombic. As for the symmetry: Cmc2_1, No. 36. As for the formation energy (no corrections): -118.0 kJ/mol of atoms.

(12)
Crystalline Ce2TmCr2N6 at its relaxed geometry. Source: Alexandria via LeMat-Bulk, functional GGA-PBE.

a = 6.750 Å, b = 6.750 Å, c = 6.750 Å
α = 48.15°, β = 48.15°, γ = 48.15°
Element x y z (fractional)
1 Ce 0.206 0.206 0.206
2 Ce 0.794 0.794 0.794
3 Tm 0.000 0.000 0.000
4 Cr 0.400 0.400 0.400
5 Cr 0.600 0.600 0.600
6 N 0.232 0.738 0.738
7 N 0.262 0.262 0.768
8 N 0.262 0.768 0.262
9 N 0.738 0.232 0.738
10 N 0.738 0.738 0.232
11 N 0.768 0.262 0.262

Its crystal system is trigonal. As for the symmetry: R-3m, No. 166. As for the formation energy (no corrections): -84.5 kJ/mol of atoms.

(13)
Crystalline Ce2UCrN5 at its relaxed geometry. Source: Alexandria via LeMat-Bulk, functional GGA-PBE.

a = 6.446 Å, b = 6.446 Å, c = 5.689 Å
α = 90.00°, β = 90.00°, γ = 90.00°
Element x y z (fractional)
1 Ce 0.165 0.335 0.000
2 Ce 0.335 0.835 0.000
3 Ce 0.665 0.165 0.000
4 Ce 0.835 0.665 0.000
5 U 0.000 0.000 0.500
6 U 0.500 0.500 0.500
7 Cr 0.000 0.500 0.500
8 Cr 0.500 0.000 0.500
9 N 0.000 0.000 0.000
10 N 0.152 0.652 0.279
11 N 0.152 0.652 0.721
12 N 0.348 0.152 0.279
13 N 0.348 0.152 0.721
14 N 0.500 0.500 0.000
15 N 0.652 0.848 0.279
16 N 0.652 0.848 0.721
17 N 0.848 0.348 0.279
18 N 0.848 0.348 0.721

Its crystal system is tetragonal. As for the symmetry: P4/mbm, No. 127. As for the formation energy (no corrections): -85.9 kJ/mol of atoms.

(14)
Crystalline Ce2VCrN5 at its relaxed geometry. Source: Alexandria via LeMat-Bulk, functional GGA-PBE.

a = 6.860 Å, b = 6.860 Å, c = 9.723 Å
α = 90.00°, β = 90.00°, γ = 151.90°
Element x y z (fractional)
1 Ce 0.120 0.880 0.500
2 Ce 0.139 0.861 0.125
3 Ce 0.861 0.139 0.625
4 Ce 0.880 0.120 0.000
5 V 0.444 0.556 0.279
6 V 0.556 0.444 0.779
7 Cr 0.209 0.791 0.834
8 Cr 0.791 0.209 0.334
9 N 0.053 0.947 0.867
10 N 0.291 0.709 0.475
11 N 0.312 0.688 0.202
12 N 0.357 0.643 0.828
13 N 0.500 0.500 0.112
14 N 0.500 0.500 0.612
15 N 0.643 0.357 0.328
16 N 0.688 0.312 0.702
17 N 0.709 0.291 0.975
18 N 0.947 0.053 0.367

Its crystal system is orthorhombic. As for the symmetry: Cmc2_1, No. 36. As for the formation energy (no corrections): -107.0 kJ/mol of atoms.

(15)
Crystalline Ce2VCr2N6 at its relaxed geometry. Source: Alexandria via LeMat-Bulk, functional GGA-PBE.

a = 6.057 Å, b = 6.057 Å, c = 6.057 Å
α = 55.99°, β = 55.99°, γ = 55.99°
Element x y z (fractional)
1 Ce 0.214 0.214 0.214
2 Ce 0.786 0.786 0.786
3 V 0.000 0.000 0.000
4 Cr 0.430 0.430 0.430
5 Cr 0.570 0.570 0.570
6 N 0.237 0.237 0.759
7 N 0.237 0.759 0.237
8 N 0.241 0.763 0.763
9 N 0.759 0.237 0.237
10 N 0.763 0.241 0.763
11 N 0.763 0.763 0.241

Its crystal system is trigonal. As for the symmetry: R-3m, No. 166. As for the formation energy (no corrections): -70.0 kJ/mol of atoms.

(16)
Crystalline Ce2CrWN6 at its relaxed geometry. Source: Alexandria via LeMat-Bulk, functional GGA-PBE.

a = 5.454 Å, b = 5.552 Å, c = 9.458 Å
α = 90.00°, β = 125.14°, γ = 90.00°
Element x y z (fractional)
1 Ce 0.246 0.047 0.250
2 Ce 0.246 0.453 0.750
3 Ce 0.754 0.547 0.250
4 Ce 0.754 0.953 0.750
5 Cr 0.500 0.000 0.000
6 Cr 0.500 0.500 0.500
7 W 0.000 0.000 0.500
8 W 0.000 0.500 0.000
9 N 0.163 0.197 0.960
10 N 0.163 0.303 0.460
11 N 0.265 0.703 0.961
12 N 0.265 0.797 0.461
13 N 0.328 0.018 0.754
14 N 0.328 0.482 0.254
15 N 0.672 0.518 0.746
16 N 0.672 0.982 0.246
17 N 0.735 0.203 0.539
18 N 0.735 0.297 0.039
19 N 0.837 0.697 0.540
20 N 0.837 0.803 0.040

Its crystal system is monoclinic. As for the symmetry: P2_1/c, No. 14. As for the formation energy (no corrections): -88.9 kJ/mol of atoms.

(17)
Crystalline CeY2CrN4 at its relaxed geometry. Source: Alexandria via LeMat-Bulk, functional GGA-PBE.

a = 6.004 Å, b = 6.004 Å, c = 11.664 Å
α = 90.00°, β = 90.00°, γ = 147.20°
Element x y z (fractional)
1 Ce 0.098 0.902 0.750
2 Ce 0.902 0.098 0.250
3 Y 0.369 0.631 0.544
4 Y 0.369 0.631 0.956
5 Y 0.631 0.369 0.044
6 Y 0.631 0.369 0.456
7 Cr 0.165 0.835 0.250
8 Cr 0.835 0.165 0.750
9 N 0.000 0.000 0.000
10 N 0.000 0.000 0.500
11 N 0.268 0.732 0.130
12 N 0.268 0.732 0.370
13 N 0.427 0.573 0.750
14 N 0.573 0.427 0.250
15 N 0.732 0.268 0.630
16 N 0.732 0.268 0.870

Its crystal system is orthorhombic. As for the symmetry: Cmcm, No. 63. As for the formation energy (no corrections): -119.8 kJ/mol of atoms.

(18)
Crystalline Ce2YCrN4 at its relaxed geometry. Source: Alexandria via LeMat-Bulk, functional GGA-PBE.

a = 6.013 Å, b = 6.013 Å, c = 11.839 Å
α = 90.00°, β = 90.00°, γ = 147.34°
Element x y z (fractional)
1 Ce 0.135 0.865 0.548
2 Ce 0.135 0.865 0.952
3 Ce 0.865 0.135 0.048
4 Ce 0.865 0.135 0.452
5 Y 0.383 0.617 0.750
6 Y 0.617 0.383 0.250
7 Cr 0.349 0.651 0.250
8 Cr 0.651 0.349 0.750
9 N 0.065 0.935 0.750
10 N 0.229 0.771 0.136
11 N 0.229 0.771 0.364
12 N 0.500 0.500 0.000
13 N 0.500 0.500 0.500
14 N 0.771 0.229 0.636
15 N 0.771 0.229 0.864
16 N 0.935 0.065 0.250

Its crystal system is orthorhombic. As for the symmetry: Cmcm, No. 63. As for the formation energy (no corrections): -108.7 kJ/mol of atoms.

| no. | D(E_F) (states/eV/cell) |
| --- | --- |
| 1 | 11.6 |
| 2 | 8.2 |
| 3 | 9.5 |
| 4 | 14.8 |
| 5 | 13.3 |
| 6 | 6.1 |
| 7 | 12.9 |
| 8 | 9.3 |
| 9 | 9.2 |
| 10 | 12.9 |
| 11 | 10.7 |
| 12 | 9.1 |
| 13 | 15.3 |
| 14 | 7.2 |
| 15 | 13.5 |
| 16 | 10.2 |
| 17 | 13.4 |
| 18 | 14.3 |